A plane-wave DFT calculation with GGA-PBEsol was carried out for a geometry-optimized Be2CoCu structure.

```
Be2CoCu
1.0
5.736 0.000 0.000
0.000 5.736 0.000
0.000 0.000 4.731
Be Co Cu
8 4 4
Cartesian
1.415 4.302 0.591
1.434 1.415 4.140
1.434 1.453 1.774
1.453 4.302 2.957
4.283 1.434 2.957
4.302 4.283 1.774
4.302 4.321 4.140
4.321 1.434 0.591
0.000 0.000 0.000
0.000 2.868 1.183
2.868 0.000 3.548
2.868 2.868 2.365
0.000 0.000 2.365
0.000 2.868 3.548
2.868 0.000 1.183
2.868 2.868 0.000
```

E_tot = -4.773 eV/atom
Energy of formation from the pure elements = 0.25 eV/atom
Size of the total moment = 0.00 μB per cell